Material: CrTeRu2
Method: DFT, PBE
State: optimized geometry

a b c (Å): 4.193 4.193 3.535
angles (deg): 90.00 90.00 90.00
Element x y z (fractional)
Cr1 0.000 0.000 0.000
Te1 0.500 0.500 0.000
Ru1 0.000 0.500 0.500
Ru2 0.500 0.000 0.500

Output
Spin magnetization ... 3.08 μB per formula unit
Symmetry ... P4/mmm, No. 123
E_form (uncorrected) ... 232.5 meV per atom
Energy ... -7.597 eV/atom